Record 1
The following is a PBE calculation of K2BiSb after structural relaxation, from Alexandria.

Summary:
The uncorrected formation energy is -0.3097 eV per atom. As for the energy above the lowest structure with this stoichiometry: 15 meV per atom. The space group is Cmcm, No. 63. The calculation puts the volume at 610 Å³/cell.

Lattice parameters (Å, degrees): 10.6864 8.9932 6.3500 90.00 90.00 90.00
With the nearest neighbours (Å) after each atom.
Fractional coordinates of all 16 atoms:
K: 0.1850 0.1533 0.2500  4 Sb 3.60-3.75, 3 K 3.88-3.95, 4 Bi 3.97-4.02
K: 0.1850 0.8467 0.7500  4 Sb 3.60-3.75, 3 K 3.88-3.95, 4 Bi 3.97-4.02
K: 0.3150 0.3467 0.7500  4 Sb 3.60-3.75, 3 K 3.88-3.95, 4 Bi 3.97-4.02
K: 0.3150 0.6533 0.2500  4 Sb 3.60-3.75, 3 K 3.88-3.95, 4 Bi 3.97-4.02
K: 0.6850 0.3467 0.7500  4 Sb 3.60-3.75, 3 K 3.88-3.95, 4 Bi 3.97-4.02
K: 0.6850 0.6533 0.2500  4 Sb 3.60-3.75, 3 K 3.88-3.95, 4 Bi 3.97-4.02
K: 0.8150 0.1533 0.2500  4 Sb 3.60-3.75, 3 K 3.88-3.95, 4 Bi 3.97-4.02
K: 0.8150 0.8467 0.7500  4 Sb 3.60-3.75, 3 K 3.88-3.95, 4 Bi 3.97-4.02
Bi: 0.0000 0.5000 0.0000  2 Bi 3.17, 2 Sb 3.27
Bi: 0.0000 0.5000 0.5000  2 Bi 3.17, 2 Sb 3.27
Bi: 0.5000 0.0000 0.0000  2 Bi 3.17, 2 Sb 3.27
Bi: 0.5000 0.0000 0.5000  2 Bi 3.17, 2 Sb 3.27
Sb: 0.0000 0.1818 0.7500  2 Bi 3.27, 2 K 3.60
Sb: 0.0000 0.8182 0.2500  2 Bi 3.27, 2 K 3.60
Sb: 0.5000 0.3182 0.2500  2 Bi 3.27, 2 K 3.60
Sb: 0.5000 0.6818 0.7500  2 Bi 3.27, 2 K 3.60

***

Record 2
The following is a PBE calculation of Y4Tm2Sc after structural relaxation, from Alexandria.

Summary:
As for the energy above the lowest structure with this stoichiometry: 137 meV per atom. The value obtained for the energy relative to the elements is 280 meV per atom. The space group is Pbca, No. 61. The calculation puts the volume at 941 Å³/cell.

Lattice parameters (Å, degrees): 3.5019 11.4802 23.4129 90.00 90.00 90.00
With the nearest neighbours (Å) after each atom.
Fractional coordinates of all 28 atoms:
Y: 0.0002 0.2232 0.0637  3 Tm 3.39-3.45, 6 Y 3.40-3.51, 3 Sc 3.44-3.51
Y: 0.0002 0.2768 0.5637  3 Tm 3.39-3.45, 6 Y 3.40-3.51, 3 Sc 3.44-3.51
Y: 0.9998 0.7232 0.4363  3 Tm 3.39-3.45, 6 Y 3.40-3.51, 3 Sc 3.44-3.51
Y: 0.9998 0.7768 0.9363  3 Tm 3.39-3.45, 6 Y 3.40-3.51, 3 Sc 3.44-3.51
Y: 0.0021 0.1820 0.3133  6 Y 3.40-3.50, 3 Tm 3.46-3.51
Y: 0.0021 0.3180 0.8133  6 Y 3.40-3.50, 3 Tm 3.46-3.51
Y: 0.4979 0.6820 0.3133  6 Y 3.40-3.50, 3 Tm 3.46-3.51
Y: 0.4979 0.8180 0.8133  6 Y 3.40-3.50, 3 Tm 3.46-3.51
Y: 0.5002 0.2232 0.4363  3 Tm 3.39-3.45, 6 Y 3.40-3.51, 3 Sc 3.44-3.51
Y: 0.5002 0.2768 0.9363  3 Tm 3.39-3.45, 6 Y 3.40-3.51, 3 Sc 3.44-3.51
Y: 0.4998 0.7232 0.0637  3 Tm 3.39-3.45, 6 Y 3.40-3.51, 3 Sc 3.44-3.51
Y: 0.4998 0.7768 0.5637  3 Tm 3.39-3.45, 6 Y 3.40-3.51, 3 Sc 3.44-3.51
Y: 0.5021 0.1820 0.1867  6 Y 3.40-3.50, 3 Tm 3.46-3.51
Y: 0.5021 0.3180 0.6867  6 Y 3.40-3.50, 3 Tm 3.46-3.51
Y: 0.9979 0.6820 0.1867  6 Y 3.40-3.50, 3 Tm 3.46-3.51
Y: 0.9979 0.8180 0.6867  6 Y 3.40-3.50, 3 Tm 3.46-3.51
Tm: 0.0018 0.5473 0.6222  2 Sc 3.39-3.40, 6 Y 3.39-3.51, 2 Tm 3.50
Tm: 0.0018 0.9527 0.1222  2 Sc 3.39-3.40, 6 Y 3.39-3.51, 2 Tm 3.50
Tm: 0.4982 0.0473 0.6222  2 Sc 3.39-3.40, 6 Y 3.39-3.51, 2 Tm 3.50
Tm: 0.4982 0.4527 0.1222  2 Sc 3.39-3.40, 6 Y 3.39-3.51, 2 Tm 3.50
Tm: 0.5018 0.5473 0.8778  2 Sc 3.39-3.40, 6 Y 3.39-3.51, 2 Tm 3.50
Tm: 0.5018 0.9527 0.3778  2 Sc 3.39-3.40, 6 Y 3.39-3.51, 2 Tm 3.50
Tm: 0.9982 0.0473 0.8778  2 Sc 3.39-3.40, 6 Y 3.39-3.51, 2 Tm 3.50
Tm: 0.9982 0.4527 0.3778  2 Sc 3.39-3.40, 6 Y 3.39-3.51, 2 Tm 3.50
Sc: 0.0000 0.0000 0.5000  4 Tm 3.39-3.40, 6 Y 3.44-3.51, 2 Sc 3.50
Sc: 0.0000 0.5000 0.0000  4 Tm 3.39-3.40, 6 Y 3.44-3.51, 2 Sc 3.50
Sc: 0.5000 0.0000 0.0000  4 Tm 3.39-3.40, 6 Y 3.44-3.51, 2 Sc 3.50
Sc: 0.5000 0.5000 0.5000  4 Tm 3.39-3.40, 6 Y 3.44-3.51, 2 Sc 3.50

***

Record 3
The following is a PBE calculation of PmHoEr3Sc after structural relaxation, from Alexandria.

Summary:
The value obtained for the energy relative to the elements is 38 meV per atom. The space group is Cmcm, No. 63. The calculation puts the volume at 362 Å³/cell.

Lattice parameters (Å, degrees): 7.8045 7.8045 9.8994 90.00 90.00 143.11
With the nearest neighbours (Å) after each atom.
Fractional coordinates of all 12 atoms:
Pm: 0.0023 0.9977 0.7500  6 Er 3.48-3.55, 2 Sc 3.48, 4 Ho 3.50
Pm: 0.9977 0.0023 0.2500  6 Er 3.48-3.55, 2 Sc 3.48, 4 Ho 3.50
Ho: 0.5000 0.5000 0.0000  4 Pm 3.50, 6 Er 3.50-3.53, 2 Sc 3.51
Ho: 0.5000 0.5000 0.5000  4 Pm 3.50, 6 Er 3.50-3.53, 2 Sc 3.51
Er: 0.1680 0.8320 0.9999  5 Er 3.45-3.50, 3 Sc 3.47-3.50, 2 Pm 3.48-3.53, 2 Ho 3.50
Er: 0.1680 0.8320 0.5001  5 Er 3.45-3.50, 3 Sc 3.47-3.50, 2 Pm 3.48-3.53, 2 Ho 3.50
Er: 0.3305 0.6695 0.7500  2 Sc 3.44, 6 Er 3.45-3.50, 2 Ho 3.53, 2 Pm 3.55
Er: 0.6695 0.3305 0.2500  2 Sc 3.44, 6 Er 3.45-3.50, 2 Ho 3.53, 2 Pm 3.55
Er: 0.8320 0.1680 0.0001  5 Er 3.45-3.50, 3 Sc 3.47-3.50, 2 Pm 3.48-3.53, 2 Ho 3.50
Er: 0.8320 0.1680 0.4999  5 Er 3.45-3.50, 3 Sc 3.47-3.50, 2 Pm 3.48-3.53, 2 Ho 3.50
Sc: 0.3317 0.6683 0.2500  8 Er 3.44-3.50, 2 Pm 3.48, 2 Ho 3.51
Sc: 0.6683 0.3317 0.7500  8 Er 3.44-3.50, 2 Pm 3.48, 2 Ho 3.51

***

Record 4
The following is a PBE calculation of LiUPaN3 after structural relaxation, from Alexandria.

Summary:
The uncorrected formation energy is -1.1300 eV per atom. The space group is P2_1/m, No. 11. The calculation puts the volume at 160 Å³/cell.

Lattice parameters (Å, degrees): 6.8855 3.3196 7.1540 90.00 101.63 90.00
With the nearest neighbours (Å) after each atom.
Fractional coordinates of all 12 atoms:
Li: 0.0829 0.2500 0.0765  4 N 1.92-2.06
Li: 0.9171 0.7500 0.9235  4 N 1.92-2.06
U: 0.3060 0.7500 0.3420  6 N 2.26-2.43
U: 0.6940 0.2500 0.6580  6 N 2.26-2.43
Pa: 0.2893 0.7500 0.8227  5 N 2.32-2.48
Pa: 0.7107 0.2500 0.1773  5 N 2.32-2.48
N: 0.0184 0.2500 0.8012  3 Li 1.93-2.06
N: 0.3531 0.2500 0.5927  3 U 2.30-2.42, 2 Pa 2.44
N: 0.3670 0.2500 0.1133  1 Li 1.92
N: 0.6330 0.7500 0.8867  1 Li 1.92
N: 0.6469 0.7500 0.4073  3 U 2.30-2.42, 2 Pa 2.44
N: 0.9816 0.7500 0.1988  3 Li 1.93-2.06

***

Record 5
The following is a PBE calculation of LaTiAlV after structural relaxation, from Alexandria.

Summary:
As for the energy above the lowest structure with this stoichiometry: 122 meV per atom. The value obtained for the energy relative to the elements is 167 meV per atom. The space group is Cm, No. 8. The calculation puts the volume at 183 Å³/cell.

Lattice parameters (Å, degrees): 7.9989 4.6236 5.6140 90.00 118.42 90.00
With the nearest neighbours (Å) after each atom.
Fractional coordinates of all 8 atoms:
La: 0.0000 0.0000 0.0000  1 Ti 2.86, 1 V 3.06
La: 0.5000 0.5000 0.0000  1 Ti 2.86, 1 V 3.06
Ti: 0.3065 0.5000 0.4199  3 Al 2.76, 3 V 2.84-2.85, 1 La 2.86
Ti: 0.8065 0.0000 0.4199  3 Al 2.76, 3 V 2.84-2.85, 1 La 2.86
Al: 0.0216 0.5000 0.5653  3 V 2.68, 3 Ti 2.76
Al: 0.5216 0.0000 0.5653  3 V 2.68, 3 Ti 2.76
V: 0.2066 0.0000 0.6207  3 Al 2.68, 3 Ti 2.84-2.85
V: 0.7066 0.5000 0.6207  3 Al 2.68, 3 Ti 2.84-2.85

***

Record 6
The following is a PBE calculation of Ac2TlH3 after structural relaxation, from Alexandria.

Summary:
The space group is C2/m, No. 12. The calculation puts the volume at 259 Å³/cell.

Lattice parameters (Å, degrees): 8.3580 8.3580 8.3904 111.45 111.45 28.49
With the nearest neighbours (Å) after each atom.
Fractional coordinates of all 12 atoms:
Ac: 0.0314 0.0314 0.2861  5 H 2.38-2.62
Ac: 0.2952 0.2952 0.3145  6 H 2.36-2.61
Ac: 0.7048 0.7048 0.6855  6 H 2.36-2.61
Ac: 0.9686 0.9686 0.7139  5 H 2.38-2.62
Tl: 0.3826 0.3826 0.9682  7 Ac 3.51-3.68, 1 Tl 3.64, 3 H 3.77-3.91
Tl: 0.6174 0.6174 0.0319  7 Ac 3.51-3.68, 1 Tl 3.64, 3 H 3.77-3.91
H: 0.0988 0.0988 0.6232  3 H 2.26-2.51, 1 Ac 2.50
H: 0.1959 0.1959 0.4887  1 H 2.26
H: 0.4289 0.4289 0.5605  3 Ac 2.36-2.38, 2 H 2.51
H: 0.5711 0.5711 0.4395  3 Ac 2.36-2.38, 2 H 2.51
H: 0.8041 0.8041 0.5113  1 H 2.26
H: 0.9012 0.9012 0.3768  3 H 2.26-2.51, 1 Ac 2.50

***

Number 1: E_tot -2.859 eV per atom. Number 2: E_tot -5.596 eV per atom. Number 3: E_tot -4.853 eV per atom. Number 4: E_tot -9.076 eV per atom. Number 5: E_tot -6.254 eV per atom. Number 6: E_tot -3.896 eV per atom.